Record 1
Compound: WSe
Source: Alexandria
Functional: PBE
Structure: optimized geometry

The structure in POSCAR format:
```
WSe
1.0
-10.8703 1.8060 -0.6667
0.3222 -2.0628 -10.8402
-0.5701 -3.2120 0.5943
Se W
8 8
direct
0.7036 0.9322 0.5000
0.2964 0.0678 0.5000
0.0678 0.7036 0.5000
0.5678 0.2036 0.0000
0.4322 0.7964 0.0000
0.2036 0.4322 0.0000
0.7964 0.5678 0.0000
0.9322 0.2964 0.5000
0.7660 0.3372 0.0000
0.7340 0.1628 0.5000
0.2660 0.8372 0.5000
0.1628 0.2660 0.5000
0.8372 0.7340 0.5000
0.3372 0.2340 0.0000
0.2340 0.6628 0.0000
0.6628 0.7660 0.0000
```

Properties
The spin magnetization comes out at 0.0 μB/cell. The calculation puts the raw formation energy at 0.37 eV/atom. Its symmetry is No. 87. Its total energy is -7.85 eV per atom.

***

Record 2
Compound: W3Se5
Source: Alexandria
Functional: PBE
Structure: optimized geometry

The structure in POSCAR format:
```
W3Se5
1.0
-7.9890 -0.6590 1.9186
4.6298 -2.3431 4.1881
1.9421 7.9060 0.2398
Se W
10 6
direct
0.3130 0.0262 0.8314
0.3739 0.4610 0.7562
0.5958 0.4547 0.2483
0.1177 0.2048 0.2438
0.8474 0.7064 0.7517
0.7042 0.1850 0.5000
0.2427 0.7031 0.5000
0.3191 0.6686 0.0658
0.7533 0.1028 0.9342
0.9816 0.6948 0.1686
0.0818 0.5376 0.7039
0.7339 0.8268 0.1381
0.8103 0.8884 0.5000
0.8778 0.3336 0.2961
0.0958 0.1887 0.8619
0.1452 0.0178 0.5000
```

Properties
The spin magnetization comes out at 0.0 μB/cell. The calculation puts the raw formation energy at 0.05 eV/atom. Its symmetry is No. 8. Its total energy is -6.98 eV per atom.

***

Record 3
Compound: W3Se
Source: Alexandria
Functional: PBE
Structure: optimized geometry

The structure in POSCAR format:
```
W3Se
1.0
-1.2879 0.8885 -2.6463
-1.5163 -1.8945 1.8875
-3.2777 6.3307 3.7209
W Se
3 1
direct
0.6667 0.3333 0.2340
0.0000 0.0000 0.5000
0.6667 0.3333 0.7660
0.0000 0.0000 0.0000
```

Properties
The spin magnetization comes out at 0.0 μB/cell. The calculation puts the raw formation energy at 0.41 eV/atom. Its symmetry is No. 187. Its total energy is -10.18 eV per atom.